No. 1
An optimized crystal structure of AgHg2Se. Source: Alexandria via LeMat-Bulk, functional GGA-PBE.

## Properties
Its symmetry is No. 8. The total energy comes out at -6.91 eV per cell. The total magnetization comes out at 0.0 μB per formula unit. Its uncorrected formation energy is 0.007 eV per atom.

```
AgHg2Se
1.0
-2.666 -2.900 1.731
0.705 -4.222 -0.439
2.779 -2.198 5.659
Ag Hg Se
1 2 1
direct
0.238 0.238 0.285
0.995 0.995 0.017
0.756 0.756 0.737
0.510 0.510 0.461
```

No. 2
An optimized crystal structure of Ag5HgSe4. Source: Alexandria via LeMat-Bulk, functional GGA-PBE.

## Properties
Its symmetry is No. 71. The total energy comes out at -28.70 eV per cell. The total magnetization comes out at 0.0 μB per formula unit. Its uncorrected formation energy is -0.020 eV per atom.

```
Ag5HgSe4
1.0
-1.480 -2.176 3.180
-5.150 -2.083 -6.501
6.858 -3.835 0.569
Ag Hg Se
5 1 4
direct
0.182 0.364 0.429
0.182 0.364 0.935
0.818 0.636 0.065
0.500 0.000 0.500
0.818 0.636 0.571
0.500 0.000 0.000
0.694 0.389 0.194
0.000 0.000 0.284
0.306 0.611 0.806
0.000 0.000 0.716
```

Question: Look up the total magnetization of the second one.
Answer: 0.0 μB per formula unit

Please write out number 2 again, unchanged.
An optimized crystal structure of Ag5HgSe4. Source: Alexandria via LeMat-Bulk, functional GGA-PBE.

## Properties
Its symmetry is No. 71. The total energy comes out at -28.70 eV per cell. The total magnetization comes out at 0.0 μB per formula unit. Its uncorrected formation energy is -0.020 eV per atom.

```
Ag5HgSe4
1.0
-1.480 -2.176 3.180
-5.150 -2.083 -6.501
6.858 -3.835 0.569
Ag Hg Se
5 1 4
direct
0.182 0.364 0.429
0.182 0.364 0.935
0.818 0.636 0.065
0.500 0.000 0.500
0.818 0.636 0.571
0.500 0.000 0.000
0.694 0.389 0.194
0.000 0.000 0.284
0.306 0.611 0.806
0.000 0.000 0.716
```

Question: What is the total magnetization in the first record?
Answer: 0.0 μB per formula unit

Question: Which value of total magnetization does entry 1 give?
Answer: 0.0 μB per formula unit